Material: SrCr2SbO6
Method: DFT, GGA+U
State: optimized geometry

Cell: 5.5212 5.5214 5.6167 Å, 60.56 60.56 60.00°
Closest atoms and distances in Å follow each position.
Positions (direct):
Sr: 0.7765 0.7765 0.6705  6 O 2.44-2.71
Cr: 0.5205 0.5205 0.4386  6 O 2.00-2.08
Cr: 0.0133 0.0133 0.9600  6 O 2.01-2.05
O: 0.3280 0.7248 0.7473  2 Cr 2.01-2.08, 1 Sb 2.12
O: 0.6598 0.2621 0.2114  2 Cr 2.00-2.05
O: 0.8667 0.6598 0.2113  2 Cr 2.00-2.05
O: 0.2621 0.8667 0.2115  2 Cr 2.00-2.05
O: 0.7249 0.2000 0.7473  2 Cr 2.01-2.08, 1 Sb 2.12
O: 0.1999 0.3279 0.7473  2 Cr 2.01-2.08, 1 Sb 2.12
Sb: 0.3100 0.3099 0.0701  6 O 2.12-2.28

Properties
The density of states at the Fermi level is 1.13 states/eV/cell. The density comes out at 5568 kg/m³. Its space group is R3, No. 146. Its volume is 122 Å³/cell. As for the total energy: -6.986 eV per atom.